1.
Density functional theory data (GGA-PBE) for an optimized crystal structure of NaPbCl2F.

Properties
Space-group type: No. 63
Formation energy from raw total energies (meV/atom): -1773
Magnetization (Bohr magnetons per cell): 0.0

Structure (POSCAR):
```
NaPbCl2F
1.0
1.9963 -6.5418 0.0000
1.9963 6.5418 0.0000
0.0000 0.0000 8.8736
Na Pb Cl F
2 2 4 2
direct
0.0000 0.0000 0.0000
0.0000 0.0000 0.5000
0.2851 0.7149 0.7500
0.7149 0.2851 0.2500
0.3601 0.6399 0.0596
0.3601 0.6399 0.4404
0.6399 0.3601 0.5596
0.6399 0.3601 0.9404
0.1041 0.8959 0.2500
0.8959 0.1041 0.7500
```


2.
Density functional theory data (GGA-PBE) for an optimized crystal structure of CaTlZnBi.

Properties
Space-group type: No. 216
Calculated formation energy (eV per atom): -0.220
Magnetization (Bohr magnetons per cell): 0.0

Structure (POSCAR):
```
CaTlZnBi
1.0
7.7932 0.0000 0.0000
0.0000 7.7932 0.0000
0.0000 0.0000 7.7932
Ca Tl Zn Bi
4 4 4 4
direct
0.0000 0.0000 0.0000
0.0000 0.5000 0.5000
0.5000 0.0000 0.5000
0.5000 0.5000 0.0000
0.0000 0.0000 0.5000
0.0000 0.5000 0.0000
0.5000 0.0000 0.0000
0.5000 0.5000 0.5000
0.2500 0.2500 0.2500
0.2500 0.7500 0.7500
0.7500 0.2500 0.7500
0.7500 0.7500 0.2500
0.2500 0.2500 0.7500
0.2500 0.7500 0.2500
0.7500 0.2500 0.2500
0.7500 0.7500 0.7500
```


3.
Density functional theory data (GGA-PBE) for an optimized crystal structure of PmB2IrOs.

Properties
Space-group type: No. 119
Calculated formation energy (eV per atom): -0.539
Magnetization (Bohr magnetons per cell): 0.0

Structure (POSCAR):
```
PmB2IrOs
1.0
3.9572 0.0000 0.0000
0.0000 3.9572 0.0000
0.0000 0.0000 9.8370
Pm B Ir Os
2 4 2 2
direct
0.0000 0.0000 0.0000
0.5000 0.5000 0.5000
0.0000 0.0000 0.3332
0.0000 0.0000 0.6668
0.5000 0.5000 0.1668
0.5000 0.5000 0.8332
0.0000 0.5000 0.7500
0.5000 0.0000 0.2500
0.0000 0.5000 0.2500
0.5000 0.0000 0.7500
```


4.
Density functional theory data (GGA-PBE) for an optimized crystal structure of CeCoI6.

Properties
Space-group type: No. 12
Formation energy from raw total energies (meV/atom): -685
Magnetization (Bohr magnetons per cell): 2.8

Structure (POSCAR):
```
CeCoI6
1.0
10.5170 0.0000 0.0000
0.0000 11.6002 0.0000
-0.3164 0.0000 6.9668
Ce Co I
2 2 12
direct
0.0000 0.0000 0.0000
0.5000 0.5000 0.0000
0.0000 0.0000 0.5000
0.5000 0.5000 0.5000
0.1074 0.1659 0.3033
0.1074 0.8341 0.3033
0.2296 0.0000 0.7600
0.2704 0.5000 0.2400
0.3926 0.3341 0.6967
0.3926 0.6659 0.6967
0.6074 0.3341 0.3033
0.6074 0.6659 0.3033
0.7296 0.5000 0.7600
0.7704 0.0000 0.2400
0.8926 0.1659 0.6967
0.8926 0.8341 0.6967
```


5.
Density functional theory data (GGA-PBE) for an optimized crystal structure of LiCa4Os.

Properties
Space-group type: No. 216
Calculated formation energy (eV per atom): 0.995
Magnetization (Bohr magnetons per cell): 0.0

Structure (POSCAR):
```
LiCa4Os
1.0
0.0000 4.4147 4.4147
4.4147 0.0000 4.4147
4.4147 4.4147 0.0000
Li Ca Os
1 4 1
direct
0.0000 0.0000 0.0000
0.3765 0.3765 0.3765
0.3765 0.3765 0.8705
0.3765 0.8705 0.3765
0.8705 0.3765 0.3765
0.7500 0.7500 0.7500
```


6.
Density functional theory data (GGA-PBE) for an optimized crystal structure of InTeF2.

Properties
Space-group type: No. 166
Formation energy from raw total energies (meV/atom): -1249
Distance to the lowest polymorph of the same formula (eV per formula unit): 0.00
Magnetization (Bohr magnetons per cell): 0.5

Structure (POSCAR):
```
InTeF2
1.0
3.4540 0.0000 0.0000
-1.7270 2.9912 0.0000
0.0000 0.0000 24.8003
In Te F
3 3 6
direct
0.0000 0.0000 0.0000
0.3333 0.6667 0.6667
0.6667 0.3333 0.3333
0.0000 0.0000 0.5000
0.3333 0.6667 0.1667
0.6667 0.3333 0.8333
0.0000 0.0000 0.4129
0.0000 0.0000 0.5871
0.3333 0.6667 0.0796
0.3333 0.6667 0.2537
0.6667 0.3333 0.7463
0.6667 0.3333 0.9204
```


7.
Density functional theory data (GGA-PBE) for an optimized crystal structure of Ac2ZrCu.

Properties
Space-group type: No. 166
Distance to the lowest polymorph of the same formula (eV per formula unit): 1.74
Calculated formation energy (eV per atom): 0.569
Magnetization (Bohr magnetons per cell): 2.1

Structure (POSCAR):
```
Ac2ZrCu
1.0
3.6181 0.0000 0.0000
-1.8090 3.1333 0.0000
0.0000 0.0000 33.3874
Ac Zr Cu
6 3 3
direct
0.0000 0.0000 0.0979
0.0000 0.0000 0.9021
0.3333 0.6667 0.5688
0.3333 0.6667 0.7645
0.6667 0.3333 0.2355
0.6667 0.3333 0.4312
0.0000 0.0000 0.0000
0.3333 0.6667 0.6667
0.6667 0.3333 0.3333
0.0000 0.0000 0.5000
0.3333 0.6667 0.1667
0.6667 0.3333 0.8333
```


8.
Density functional theory data (GGA-PBE) for an optimized crystal structure of Er4GeB3Rh12.

Properties
Space-group type: No. 229
Calculated formation energy (eV per atom): -0.713
Magnetization (Bohr magnetons per cell): 0.0

Structure (POSCAR):
```
Er4GeB3Rh12
1.0
-4.2822 4.2822 4.2822
4.2822 -4.2822 4.2822
4.2822 4.2822 -4.2822
Er Ge B Rh
4 1 3 12
direct
0.0000 0.0000 0.5000
0.0000 0.5000 0.0000
0.5000 0.0000 0.0000
0.5000 0.5000 0.5000
0.0000 0.0000 0.0000
0.0000 0.5000 0.5000
0.5000 0.0000 0.5000
0.5000 0.5000 0.0000
0.0000 0.2685 0.2685
0.0000 0.7315 0.7315
0.2500 0.5000 0.7500
0.2500 0.7500 0.5000
0.2685 0.0000 0.2685
0.2685 0.2685 0.0000
0.5000 0.2500 0.7500
0.5000 0.7500 0.2500
0.7315 0.0000 0.7315
0.7315 0.7315 0.0000
0.7500 0.2500 0.5000
0.7500 0.5000 0.2500
```


9.
Density functional theory data (GGA-PBE) for an optimized crystal structure of KBa2Mo.

Properties
Space-group type: No. 99
Distance to the lowest polymorph of the same formula (eV per formula unit): 0.87
Calculated formation energy (eV per atom): 1.003
Magnetization (Bohr magnetons per cell): 3.4

Structure (POSCAR):
```
KBa2Mo
1.0
4.5643 0.0000 0.0000
0.0000 4.5643 0.0000
0.0000 0.0000 9.8209
K Ba Mo
1 2 1
direct
0.0000 0.0000 0.0000
0.0000 0.0000 0.3794
0.5000 0.5000 0.6559
0.5000 0.5000 0.2825
```


10.
Density functional theory data (GGA-PBE) for an optimized crystal structure of LaSnIN2.

Properties
Space-group type: No. 123
Formation energy from raw total energies (meV/atom): 587
Distance to the lowest polymorph of the same formula (eV per formula unit): 0.08
Magnetization (Bohr magnetons per cell): 0.1

Structure (POSCAR):
```
LaSnIN2
1.0
4.5136 0.0000 0.0000
0.0000 4.5136 0.0000
0.0000 0.0000 6.3988
La Sn I N
1 1 1 2
direct
0.0000 0.0000 0.0000
0.5000 0.5000 0.5000
0.0000 0.0000 0.5000
0.0000 0.5000 0.0000
0.5000 0.0000 0.0000
```


11.
Density functional theory data (GGA-PBE) for an optimized crystal structure of ScCIO2.

Properties
Space-group type: No. 123
Formation energy from raw total energies (meV/atom): -40
Distance to the lowest polymorph of the same formula (eV per formula unit): 0.00
Magnetization (Bohr magnetons per cell): 1.0

Structure (POSCAR):
```
ScCIO2
1.0
3.9100 0.0000 0.0000
0.0000 3.9100 0.0000
0.0000 0.0000 6.9047
Sc C I O
1 1 1 2
direct
0.0000 0.0000 0.0000
0.5000 0.5000 0.5000
0.0000 0.0000 0.5000
0.0000 0.5000 0.0000
0.5000 0.0000 0.0000
```


12.
Density functional theory data (GGA-PBE) for an optimized crystal structure of TiCo3Ag.

Properties
Space-group type: No. 221
Distance to the lowest polymorph of the same formula (eV per formula unit): 0.00
Calculated formation energy (eV per atom): 1.035
Magnetization (Bohr magnetons per cell): 1.8

Structure (POSCAR):
```
TiCo3Ag
1.0
4.2800 0.0000 0.0000
0.0000 4.2800 0.0000
0.0000 0.0000 4.2800
Ti Co Ag
1 3 1
direct
0.0000 0.0000 0.0000
0.0000 0.0000 0.5000
0.0000 0.5000 0.0000
0.5000 0.0000 0.0000
0.5000 0.5000 0.5000
```


13.
Density functional theory data (GGA-PBE) for an optimized crystal structure of RbPt3N.

Properties
Space-group type: No. 221
Formation energy from raw total energies (meV/atom): 756
Distance to the lowest polymorph of the same formula (eV per formula unit): 0.00
Magnetization (Bohr magnetons per cell): 0.0

Structure (POSCAR):
```
RbPt3N
1.0
4.4098 0.0000 0.0000
0.0000 4.4098 0.0000
0.0000 0.0000 4.4098
Rb Pt N
1 3 1
direct
0.0000 0.0000 0.0000
0.0000 0.5000 0.5000
0.5000 0.0000 0.5000
0.5000 0.5000 0.0000
0.5000 0.5000 0.5000
```


14.
Density functional theory data (GGA-PBE) for an optimized crystal structure of AgC3O.

Properties
Space-group type: No. 221
Formation energy from raw total energies (meV/atom): 3093
Distance to the lowest polymorph of the same formula (eV per formula unit): 0.00
Magnetization (Bohr magnetons per cell): 0.0

Structure (POSCAR):
```
AgC3O
1.0
3.7307 0.0000 0.0000
0.0000 3.7307 0.0000
0.0000 0.0000 3.7307
Ag C O
1 3 1
direct
0.0000 0.0000 0.0000
0.0000 0.5000 0.5000
0.5000 0.0000 0.5000
0.5000 0.5000 0.0000
0.5000 0.5000 0.5000
```


15.
Density functional theory data (GGA-PBE) for an optimized crystal structure of Dy6ErCd5.

Properties
Space-group type: No. 71
Calculated formation energy (eV per atom): -0.216
Magnetization (Bohr magnetons per cell): 0.0

Structure (POSCAR):
```
Dy6ErCd5
1.0
-2.6198 3.8822 7.9717
2.6198 -3.8822 7.9717
2.6198 3.8822 -7.9717
Dy Er Cd
6 1 5
direct
0.0742 0.3294 0.7448
0.2317 0.0000 0.2317
0.4155 0.6706 0.7448
0.5845 0.3294 0.2552
0.7683 0.0000 0.7683
0.9258 0.6706 0.2552
0.5000 0.5000 0.0000
0.0000 0.5000 0.5000
0.1689 0.1689 0.0000
0.3472 0.8472 0.5000
0.6528 0.1528 0.5000
0.8311 0.8311 0.0000
```


16.
Density functional theory data (GGA-PBE) for an optimized crystal structure of MgOs2PbAu.

Properties
Space-group type: No. 123
Calculated formation energy (eV per atom): 2.088
Magnetization (Bohr magnetons per cell): 2.1

Structure (POSCAR):
```
MgOs2PbAu
1.0
5.0318 0.0000 0.0000
0.0000 5.0318 0.0000
0.0000 0.0000 5.1391
Mg Os Pb Au
1 2 1 1
direct
0.0000 0.0000 0.0000
0.0000 0.5000 0.5000
0.5000 0.0000 0.5000
0.5000 0.5000 0.5000
0.5000 0.5000 0.0000
```


17.
Density functional theory data (GGA-PBE) for an optimized crystal structure of GaSnP2.

Properties
Space-group type: No. 166
Distance to the lowest polymorph of the same formula (eV per formula unit): 1.22
Calculated formation energy (eV per atom): 0.269
Magnetization (Bohr magnetons per cell): 0.0

Structure (POSCAR):
```
GaSnP2
1.0
4.1190 0.0000 0.0000
-2.0595 3.5672 0.0000
0.0000 0.0000 21.3454
Ga Sn P
3 3 6
direct
0.0000 0.0000 0.0000
0.3333 0.6667 0.6667
0.6667 0.3333 0.3333
0.0000 0.0000 0.5000
0.3333 0.6667 0.1667
0.6667 0.3333 0.8333
0.0000 0.0000 0.1036
0.0000 0.0000 0.8964
0.3333 0.6667 0.5630
0.3333 0.6667 0.7703
0.6667 0.3333 0.2297
0.6667 0.3333 0.4370
```


18.
Density functional theory data (GGA-PBE) for an optimized crystal structure of Tb2PmTmTh.

Properties
Space-group type: No. 63
Calculated formation energy (eV per atom): 0.446
Magnetization (Bohr magnetons per cell): 0.0

Structure (POSCAR):
```
Tb2PmTmTh
1.0
4.2865 -5.9271 0.0000
4.2865 5.9271 0.0000
0.0000 0.0000 6.9222
Tb Pm Tm Th
4 2 2 2
direct
0.1829 0.1829 0.0000
0.1829 0.1829 0.5000
0.8171 0.8171 0.0000
0.8171 0.8171 0.5000
0.2328 0.7672 0.7500
0.7672 0.2328 0.2500
0.2230 0.7770 0.2500
0.7770 0.2230 0.7500
0.4980 0.5020 0.2500
0.5020 0.4980 0.7500
```


19.
Density functional theory data (GGA-PBE) for an optimized crystal structure of BaBi2I2.

Properties
Space-group type: No. 127
Formation energy from raw total energies (meV/atom): -479
Distance to the lowest polymorph of the same formula (eV per formula unit): 0.00
Magnetization (Bohr magnetons per cell): 0.0

Structure (POSCAR):
```
BaBi2I2
1.0
8.9602 0.0000 0.0000
0.0000 8.9602 0.0000
0.0000 0.0000 6.1338
Ba Bi I
2 4 4
direct
0.0000 0.0000 0.0000
0.5000 0.5000 0.0000
0.1185 0.3815 0.0000
0.3815 0.8815 0.0000
0.6185 0.1185 0.0000
0.8815 0.6185 0.0000
0.1790 0.3210 0.5000
0.3210 0.8210 0.5000
0.6790 0.1790 0.5000
0.8210 0.6790 0.5000
```